Entry 1:
8
Lattice="7.272 0.000 0.000 3.636 5.430 0.058 3.636 0.503 5.407" Properties=species:S:1:pos:R:3 comment="Li2PaTlSe4 | the Alexandria database | PBE | optimized geometry" vol_a3_per_atom=26.66 e_form_raw_mev_per_atom=-968 dft_energy_ev_per_atom=-4.67 pbc="T T T"
Li 3.636 1.483 1.366
Se 8.900 2.888 4.874
Se 8.900 3.045 0.591
Tl 0.000 0.000 0.000
Pa 7.272 2.966 2.732
Se 5.644 0.838 2.986
Li 10.908 4.449 4.098
Se 5.644 5.094 2.479

***

Entry 2:
12
Lattice="7.496 -0.758 0.203 -0.712 8.192 1.467 0.223 2.057 10.350" Properties=species:S:1:pos:R:3 comment="KNa2PaI8 | the Alexandria database | PBE | optimized geometry" vol_a3_per_atom=50.54 e_form_raw_mev_per_atom=-1092 dft_energy_ev_per_atom=-3.23 pbc="T T T"
I 6.597 2.707 8.167
I 5.637 0.674 1.997
I 2.172 4.232 10.677
K 0.111 1.028 5.175
I 4.835 5.258 1.343
I 4.014 6.641 7.227
Na 3.424 3.679 7.674
I 0.411 6.784 3.853
I 1.371 8.816 10.023
Pa 0.000 0.000 0.000
Na 3.584 5.811 4.346
I 2.994 2.849 4.792

***

Entry 3:
5
Lattice="4.582 0.000 0.000 0.000 4.582 0.000 0.000 0.000 4.955" Properties=species:S:1:pos:R:3 comment="PWAuS2 | the Alexandria database | PBE | optimized geometry" vol_a3_per_atom=20.81 e_form_raw_mev_per_atom=464 dos_ef_per_ev_cell=3.2 de_polymorph_mev_per_atom=0 dft_energy_ev_per_atom=-5.51 pbc="T T T"
S 0.000 2.291 0.000
Au 2.291 2.291 2.478
S 2.291 0.000 0.000
W 0.000 0.000 0.000
P 0.000 0.000 2.478

***

Entry 4:
11
Lattice="-3.125 0.795 -4.449 7.043 -0.203 -3.722 -2.832 -7.183 1.969" Properties=species:S:1:pos:R:3 comment="Y8CdRh2 | the Alexandria database | PBE | optimized geometry" vol_a3_per_atom=28.16 dos_ef_per_ev_cell=13.7 delta_e_f_kj_per_mol_atoms=-32 dft_energy_ev_per_atom=-6.45 pbc="T T T"
Y 1.031 -2.719 -1.547
Y 1.495 -1.152 -6.773
Y 0.786 -6.487 -2.551
Y 0.325 -0.150 -3.662
Y -2.218 -1.948 -2.196
Y 0.081 -3.920 -4.667
Cd 0.013 -0.024 -0.006
Y -3.509 -4.690 -3.889
Y 3.330 -4.689 -4.016
Rh 2.477 -1.959 -4.214
Rh -1.367 -4.677 -1.998

***

Entry 5:
10
Lattice="-3.999 1.994 -0.443 -2.221 -4.034 1.885 0.162 2.278 8.785" Properties=species:S:1:pos:R:3 comment="TmAl2Ag2 | the Alexandria database | PBE | optimized geometry" vol_a3_per_atom=20.04 dos_ef_per_ev_cell=3.8 de_polymorph_mev_per_atom=0 delta_e_f_kj_per_mol_atoms=-23 dft_energy_ev_per_atom=-3.77 pbc="T T T"
Al -2.438 -0.798 7.024
Ag -2.811 -0.954 9.690
Al -3.620 1.036 3.203
Ag -1.453 0.649 4.653
Al -1.688 1.128 8.923
Tm -2.738 -2.108 3.841
Tm -3.320 2.345 6.386
Ag -3.247 1.191 0.537
Al -4.370 -0.890 1.304
Ag -4.605 -0.412 5.574

***

Entry 6:
5
Lattice="-2.104 1.627 -2.580 2.001 -1.628 -2.659 -5.452 -6.814 -2.511" Properties=species:S:1:pos:R:3 comment="P2Pb2Se | the Alexandria database | PBE | optimized geometry" vol_a3_per_atom=23.87 e_form_raw_mev_per_atom=15 dos_ef_per_ev_cell=1.1 dft_energy_ev_per_atom=-4.33 pbc="T T T"
Pb -4.357 -5.370 -5.154
Se 0.000 0.000 0.000
Pb -1.197 -1.447 -2.596
P -3.803 -2.594 -3.855
P -1.751 -4.222 -3.895